No. 1
Crystalline KTa4Pt at its relaxed geometry, computed with PBE-GGA.

Space group: F-43m, No. 216
Energy relative to the elements in meV per atom: 843

Cell lengths 5.5717, 5.5717, 5.5717 Å; angles 60.00, 60.00, 60.00 degrees
Atoms (fractional coordinates):
Ta  0.8732  0.3756  0.3756
Ta  0.3756  0.3756  0.8732
Ta  0.3756  0.3756  0.3756
K  0.7500  0.7500  0.7500
Ta  0.3756  0.8732  0.3756
Pt  0.0000  0.0000  0.0000

***

No. 2
Crystalline KTaPt2 at its relaxed geometry, computed with PBE-GGA.

Space group: P4mm, No. 99
Relative energy among the computed polymorphs in eV per formula unit: 1.84
Energy relative to the elements in meV per atom: 184

Cell lengths 3.4418, 3.4418, 8.0862 Å; angles 90.00, 90.00, 90.00 degrees
Atoms (fractional coordinates):
Ta  0.0000  0.0000  0.3861
K  0.5000  0.5000  0.7817
Pt  0.5000  0.5000  0.2608
Pt  0.0000  0.0000  0.0714

***

No. 3
Crystalline KTa2Pt at its relaxed geometry, computed with PBE-GGA.

Space group: P2/m, No. 10
Relative energy among the computed polymorphs in eV per formula unit: 2.41
Energy relative to the elements in meV per atom: 810

Cell lengths 2.7443, 5.3484, 6.3085 Å; angles 59.35, 90.00, 90.00 degrees
Atoms (fractional coordinates):
Ta  0.0000  0.0000  0.0000
Pt  0.0000  0.0000  0.5000
Ta  0.5000  0.5000  0.0000
K  0.5000  0.5000  0.5000

***

No. 4
Crystalline K2TaPt at its relaxed geometry, computed with PBE-GGA.

Space group: P4/mmm, No. 123
Relative energy among the computed polymorphs in eV per formula unit: 2.47
Energy relative to the elements in meV per atom: 848

Cell lengths 2.8835, 2.8835, 11.6287 Å; angles 90.00, 90.00, 90.00 degrees
Atoms (fractional coordinates):
Ta  0.5000  0.5000  0.7500
K  0.0000  0.0000  0.0333
K  0.0000  0.0000  0.4667
Pt  0.5000  0.5000  0.2500

***

No. 5
Crystalline KTaPt2 at its relaxed geometry, computed with PBE-GGA.

Space group: Fm-3m, No. 225
Relative energy among the computed polymorphs in eV per formula unit: 2.54
Energy relative to the elements in meV per atom: 359

Cell lengths 4.7471, 4.7471, 4.7471 Å; angles 60.00, 60.00, 60.00 degrees
Atoms (fractional coordinates):
Ta  0.5000  0.5000  0.5000
Pt  0.2500  0.2500  0.2500
K  0.0000  0.0000  0.0000
Pt  0.7500  0.7500  0.7500

***

No. 6
Crystalline K2TaPt at its relaxed geometry, computed with PBE-GGA.

Space group: Pmmm, No. 47
Relative energy among the computed polymorphs in eV per formula unit: 2.48
Energy relative to the elements in meV per atom: 848

Cell lengths 2.8992, 5.8890, 5.5426 Å; angles 90.00, 90.00, 90.00 degrees
Atoms (fractional coordinates):
K  0.0000  0.0000  0.4942
K  0.0000  0.0000  0.0058
Pt  0.5000  0.5000  0.2500
Ta  0.5000  0.5000  0.7500

***

No. 7
Crystalline KTa3Pt at its relaxed geometry, computed with PBE-GGA.

Space group: Pm-3m, No. 221
Relative energy among the computed polymorphs in eV per formula unit: 0.00
Energy relative to the elements in meV per atom: 1397

Cell lengths 5.0359, 5.0359, 5.0359 Å; angles 90.00, 90.00, 90.00 degrees
Atoms (fractional coordinates):
Ta  0.0000  0.5000  0.0000
K  0.5000  0.5000  0.5000
Pt  0.0000  0.0000  0.0000
Ta  0.0000  0.0000  0.5000
Ta  0.5000  0.0000  0.0000

***

No. 8
Crystalline K2TaPt at its relaxed geometry, computed with PBE-GGA.

Space group: I-42d, No. 122
Relative energy among the computed polymorphs in eV per formula unit: 2.77
Energy relative to the elements in meV per atom: 923

Cell lengths 11.8261, 11.8261, 8.7207 Å; angles 47.31, 47.31, 90.00 degrees
Atoms (fractional coordinates):
Ta  0.5000  0.5000  0.0000
Pt  0.0000  0.0000  0.0000
Ta  0.2500  0.7500  0.5000
K  0.7722  0.1250  0.2500
Pt  0.7500  0.2500  0.5000
K  0.9778  0.6250  0.2500
K  0.8750  0.0222  0.7500
K  0.3750  0.2278  0.7500

***

No. 9
Crystalline KTa2Pt at its relaxed geometry, computed with PBE-GGA.

Space group: R-3m, No. 166
Relative energy among the computed polymorphs in eV per formula unit: 1.14
Energy relative to the elements in meV per atom: 492

Cell lengths 11.3239, 11.3239, 11.3239 Å; angles 14.85, 14.85, 14.85 degrees
Atoms (fractional coordinates):
Pt  0.7500  0.7500  0.7500
K  0.2500  0.2500  0.2500
Ta  0.4852  0.4852  0.4852
Ta  0.0148  0.0148  0.0148

***

No. 10
Crystalline K2TaPt at its relaxed geometry, computed with PBE-GGA.

Space group: I4/mmm, No. 139
Relative energy among the computed polymorphs in eV per formula unit: 2.07
Energy relative to the elements in meV per atom: 748

Cell lengths 6.5975, 6.5975, 6.5975 Å; angles 145.27, 145.27, 49.93 degrees
Atoms (fractional coordinates):
Ta  0.7500  0.2500  0.5000
K  0.5000  0.5000  0.0000
K  0.0000  0.0000  0.0000
Pt  0.2500  0.7500  0.5000

***

No. 11
Crystalline K2TaPt at its relaxed geometry, computed with PBE-GGA.

Space group: Cmmm, No. 65
Relative energy among the computed polymorphs in eV per formula unit: 2.49
Energy relative to the elements in meV per atom: 852

Cell lengths 6.5022, 6.5022, 2.9060 Å; angles 90.00, 90.00, 129.66 degrees
Atoms (fractional coordinates):
Ta  0.0000  0.5000  0.5000
Pt  0.5000  0.0000  0.5000
K  0.5000  0.5000  0.0000
K  0.0000  0.0000  0.0000

***

No. 12
Crystalline K2TaPt at its relaxed geometry, computed with PBE-GGA.

Space group: F-43m, No. 216
Relative energy among the computed polymorphs in eV per formula unit: 3.52
Energy relative to the elements in meV per atom: 1111

Cell lengths 5.0967, 5.0967, 5.0967 Å; angles 119.97, 119.97, 90.05 degrees
Atoms (fractional coordinates):
Ta  0.7500  0.2500  0.5000
Pt  0.5000  0.5000  0.0000
K  0.0000  0.0000  0.0000
K  0.2500  0.7500  0.5000

***

No. 13
Crystalline KTaTi2Pt at its relaxed geometry, computed with PBE-GGA.

Space group: P4/mmm, No. 123
Energy relative to the elements in meV per atom: 1496

Cell lengths 4.7714, 5.4092, 4.7714 Å; angles 90.00, 90.00, 90.00 degrees
Atoms (fractional coordinates):
K  0.0000  0.5000  0.0000
Ta  0.0000  0.0000  0.0000
Ti  0.0000  0.0000  0.5000
Pt  0.5000  0.5000  0.5000
Ti  0.5000  0.0000  0.0000

***

No. 14
Crystalline KTa2TlPt at its relaxed geometry, computed with PBE-GGA.

Space group: P4/mmm, No. 123
Energy relative to the elements in meV per atom: 1156

Cell lengths 5.0991, 5.3930, 5.0991 Å; angles 90.00, 90.00, 90.00 degrees
Atoms (fractional coordinates):
Ta  0.0000  0.0000  0.5000
Ta  0.5000  0.0000  0.0000
K  0.5000  0.5000  0.5000
Pt  0.0000  0.0000  0.0000
Tl  0.0000  0.5000  0.0000

***

No. 15
Crystalline KTbPt4 at its relaxed geometry, computed with PBE-GGA.

Space group: F-43m, No. 216
Energy relative to the elements in meV per atom: -670

Cell lengths 5.4779, 5.4779, 5.4779 Å; angles 60.00, 60.00, 60.00 degrees
Atoms (fractional coordinates):
K  0.2500  0.2500  0.2500
Tb  0.0000  0.0000  0.0000
Pt  0.6251  0.6251  0.6251
Pt  0.6251  0.6251  0.1248
Pt  0.1248  0.6251  0.6251
Pt  0.6251  0.1248  0.6251

***

Quick rundown of total energy, same order as above: -8.25, -6.07, -6.90, -4.17, -5.90, -4.17, -7.14, -4.10, -7.22, -4.27, -4.17, -3.91, -5.46, -5.49, -5.65 eV per atom